Sr2InAgTe5: relaxed, PBE-GGA. Values from VASP.

The value obtained for the volume is 34.4 A^3/atom. The final energy comes out at -3.5163 eV per atom. Its mass density is 5.56 Mg/m³. The uncorrected formation energy is -776 meV/atom. Its symmetry is Cmc2_1, No. 36.

```
&SYSTEM
  ibrav = 0, nat = 18, ntyp = 4
/
ATOMIC_SPECIES
Te 127.60 Te.upf
Sr 87.62 Sr.upf
In 114.82 In.upf
Ag 107.87 Ag.upf
ATOMIC_POSITIONS angstrom
Te 1.577 -7.623 -1.792
Te 4.284 -12.440 2.776
Te 4.422 -8.120 5.027
Te 1.331 -6.732 1.997
Te 0.067 -1.326 -0.560
Te 5.291 -14.235 -0.537
Te -1.121 -8.909 -5.642
Te 3.909 -10.047 -0.171
Te -0.076 -11.779 -2.123
Te -1.663 -5.731 -1.104
Sr 2.193 -13.202 -0.094
Sr 1.535 -4.334 -0.254
Sr 4.473 -7.370 1.796
Sr -3.215 -7.237 -3.687
In 5.333 -10.745 4.850
In 0.767 -9.602 -3.716
Ag 1.161 -9.328 0.541
Ag -1.173 -3.773 -3.225
CELL_PARAMETERS angstrom
-3.281 -1.323 2.741
-1.683 -5.908 -8.519
8.064 -9.560 5.037
```

***

KTeS3: relaxed, PBE-GGA. Values from VASP.

The value obtained for the volume is 32.0 A^3/atom. The final energy comes out at -2.0327 eV per atom. Its mass density is 2.73 Mg/m³. The uncorrected formation energy is 1292 meV/atom. Its symmetry is Pm-3m, No. 221.

```
&SYSTEM
  ibrav = 0, nat = 5, ntyp = 3
/
ATOMIC_SPECIES
Te 127.60 Te.upf
S 32.06 S.upf
K 39.10 K.upf
ATOMIC_POSITIONS angstrom
Te 0.626 -3.296 3.293
S -0.514 -2.646 -0.314
S 2.366 -0.601 1.186
S -1.226 -0.049 2.421
K 0.000 0.000 0.000
CELL_PARAMETERS angstrom
-1.028 -5.293 -0.628
4.733 -1.201 2.371
-2.451 -0.099 4.842
```

***

CePu2Ga: relaxed, PBE-GGA. Values from VASP.

The value obtained for the volume is 23.5 A^3/atom. The final energy comes out at -9.5201 eV per atom. Its mass density is 12.35 Mg/m³. The energy of formation from the pure elements comes out at -114 meV per atom. Its symmetry is Fm-3m, No. 225.

```
&SYSTEM
  ibrav = 0, nat = 4, ntyp = 3
/
ATOMIC_SPECIES
Pu 244.00 Pu.upf
Ce 140.12 Ce.upf
Ga 69.72 Ga.upf
ATOMIC_POSITIONS angstrom
Pu -0.458 2.408 1.936
Pu -1.375 7.224 5.808
Ce 0.000 0.000 0.000
Ga -0.917 4.816 3.872
CELL_PARAMETERS angstrom
-1.643 4.817 0.339
-2.455 1.569 4.187
2.264 3.246 3.218
```

***

LiAcPd2: relaxed, PBE-GGA. Values from VASP.

The value obtained for the volume is 21.7 A^3/atom. The final energy comes out at -4.7566 eV per atom. Its mass density is 8.54 Mg/m³. The energy of formation from the pure elements comes out at -655 meV per atom. Its symmetry is R-3m, No. 166.

```
&SYSTEM
  ibrav = 0, nat = 4, ntyp = 3
/
ATOMIC_SPECIES
Pd 106.42 Pd.upf
Ac 227.00 Ac.upf
Li 6.94 Li.upf
ATOMIC_POSITIONS angstrom
Pd -2.220 -1.614 1.582
Pd -4.536 -5.670 3.995
Ac 0.000 0.000 0.000
Li -3.378 -3.642 2.788
CELL_PARAMETERS angstrom
-1.712 -4.016 -0.420
0.107 -2.794 3.379
-5.151 -0.473 2.618
```

***

NaMg2Cd2: relaxed, PBE-GGA. Values from VASP.

The value obtained for the volume is 26.6 A^3/atom. The final energy comes out at -1.2399 eV per atom. Its mass density is 3.70 Mg/m³. The energy of formation from the pure elements comes out at 28 meV per atom. Its symmetry is I4/mmm, No. 139.

```
&SYSTEM
  ibrav = 0, nat = 10, ntyp = 3
/
ATOMIC_SPECIES
Mg 24.30 Mg.upf
Cd 112.41 Cd.upf
Na 22.99 Na.upf
ATOMIC_POSITIONS angstrom
Mg 0.000 0.000 4.855
Mg 2.193 2.193 8.962
Mg 0.000 2.193 0.000
Mg 2.193 0.000 0.000
Cd 2.193 0.000 6.909
Cd 0.000 2.193 6.909
Cd 2.193 2.193 11.784
Cd 0.000 0.000 2.033
Na 2.193 2.193 3.153
Na 0.000 0.000 10.665
CELL_PARAMETERS angstrom
4.386 0.000 0.000
0.000 4.386 0.000
-2.193 -2.193 13.817
```

***

HfTi5Pb2: relaxed, PBE-GGA. Values from VASP.

The value obtained for the volume is 20.0 A^3/atom. The final energy comes out at -7.0260 eV per atom. Its mass density is 8.64 Mg/m³. The energy of formation from the pure elements comes out at 80 meV per atom. Its symmetry is Immm, No. 71.

```
&SYSTEM
  ibrav = 0, nat = 8, ntyp = 3
/
ATOMIC_SPECIES
Pb 207.20 Pb.upf
Ti 47.87 Ti.upf
Hf 178.49 Hf.upf
ATOMIC_POSITIONS angstrom
Pb 4.155 -7.923 3.745
Pb 1.332 -2.599 1.185
Ti 2.988 -3.887 3.156
Ti 5.169 -5.549 2.179
Ti 3.640 -4.361 0.359
Ti 1.847 -6.161 4.570
Ti 0.318 -4.973 2.750
Hf 0.000 0.000 0.000
CELL_PARAMETERS angstrom
-0.489 -2.748 -1.384
6.656 -3.211 0.517
-0.680 -4.563 5.796
```

***

Ac2SmTl3: relaxed, PBE-GGA. Values from VASP.

The value obtained for the volume is 33.0 A^3/atom. The final energy comes out at -3.6954 eV per atom. Its mass density is 10.20 Mg/m³. The energy of formation from the pure elements comes out at -356 meV per atom. Its symmetry is P4/mmm, No. 123.

```
&SYSTEM
  ibrav = 0, nat = 6, ntyp = 3
/
ATOMIC_SPECIES
Tl 204.38 Tl.upf
Ac 227.00 Ac.upf
Sm 150.36 Sm.upf
ATOMIC_POSITIONS angstrom
Tl 0.000 0.000 0.000
Tl 0.000 0.000 4.342
Tl 0.000 0.000 7.921
Ac 2.010 2.010 10.116
Ac 2.010 2.010 2.148
Sm 2.010 2.010 6.132
CELL_PARAMETERS angstrom
4.021 0.000 0.000
0.000 4.021 0.000
0.000 0.000 12.263
```

***

Mg2AgSe: relaxed, PBE-GGA. Values from VASP.

The value obtained for the volume is 19.8 A^3/atom. The final energy comes out at -2.7559 eV per atom. Its mass density is 4.93 Mg/m³. The uncorrected formation energy is -375 meV/atom. Its symmetry is C2/m, No. 12.

```
&SYSTEM
  ibrav = 0, nat = 4, ntyp = 3
/
ATOMIC_SPECIES
Mg 24.30 Mg.upf
Se 78.96 Se.upf
Ag 107.87 Ag.upf
ATOMIC_POSITIONS angstrom
Mg -2.566 -1.632 1.164
Mg 0.000 0.000 0.000
Se -0.033 -1.291 2.655
Ag -0.397 -2.898 -0.401
CELL_PARAMETERS angstrom
-2.201 -0.025 4.221
-2.931 -3.239 -1.892
2.136 -2.558 1.090
```